w | Computed, not measured: an optimized crystal structure of LaRuW2 at the GGA-PBE level of DFT.

Cell lengths 5.7971, 5.7971, 5.7971 Å; angles 140.78, 140.78, 56.67 degrees
With the nearest neighbours (Å) after each atom.
Fractional coordinates of all 4 atoms:
1 W 0.5000 0.5000 0.0000  4 W 2.75
2 W 0.0000 0.0000 0.0000  4 W 2.75
3 La 0.2500 0.7500 0.5000  4 Ru 2.75
4 Ru 0.7500 0.2500 0.5000  4 La 2.75

Values from the calculation:
Its space group is I4/mmm, No. 139. Its crystal system is tetragonal.

=====

x | Computed, not measured: an optimized crystal structure of LaRuW2 at the GGA-PBE level of DFT.

Cell lengths 4.6989, 4.6989, 4.6989 Å; angles 60.00, 60.00, 60.00 degrees
With the nearest neighbours (Å) after each atom.
Fractional coordinates of all 4 atoms:
1 W 0.7500 0.7500 0.7500  4 La 2.88, 4 W 2.88
2 W 0.0000 0.0000 0.0000  4 W 2.88, 4 Ru 2.88
3 La 0.5000 0.5000 0.5000  4 W 2.88, 4 Ru 2.88
4 Ru 0.2500 0.2500 0.2500  4 La 2.88, 4 W 2.88

Values from the calculation:
Its space group is F-43m, No. 216. Its crystal system is cubic.

=====

Of them, x has the highest stability.

=====

w | Computed, not measured: an optimized crystal structure of LaRuW2 at the GGA-PBE level of DFT.

Cell lengths 5.8216, 5.8216, 5.8216 Å; angles 149.38, 130.92, 58.97 degrees
With the nearest neighbours (Å) after each atom.
Fractional coordinates of all 4 atoms:
1 W 0.5197 0.5197 0.0000  2 Ru 2.80, 6 W 2.89-3.07
2 W 0.9803 0.9803 0.0000  2 Ru 2.80, 6 W 2.89-3.07
3 La 0.2500 0.7500 0.5000  4 Ru 2.87, 2 La 3.07, 4 W 3.14
4 Ru 0.7500 0.2500 0.5000  4 W 2.80, 4 La 2.87, 2 Ru 3.07

Values from the calculation:
Its space group is Immm, No. 71. Its crystal system is orthorhombic.

=====

x | Computed, not measured: an optimized crystal structure of LaRuW2 at the GGA-PBE level of DFT.

Cell lengths 5.5269, 5.5269, 4.9726 Å; angles 77.59, 77.59, 32.44 degrees
With the nearest neighbours (Å) after each atom.
Fractional coordinates of all 4 atoms:
1 W 0.5338 0.5338 0.4237  2 W 2.54, 2 Ru 2.74
2 W 0.9662 0.9662 0.0763  2 W 2.54, 2 Ru 2.74
3 Ru 0.2500 0.2500 0.2500  4 W 2.74, 4 La 2.93
4 La 0.7500 0.7500 0.7500  4 Ru 2.93, 2 La 3.09, 2 W 3.09

Values from the calculation:
Its space group is C2/m, No. 12. Its crystal system is monoclinic.

=====

Of them, x has the highest stability.

=====

w | Computed, not measured: an optimized crystal structure of LaRuW2 at the GGA-PBE level of DFT.

Cell lengths 3.7169, 2.8872, 8.0095 Å; angles 68.78, 90.00, 90.00 degrees
With the nearest neighbours (Å) after each atom.
Fractional coordinates of all 4 atoms:
1 Ru 0.5000 0.7500 0.7500  8 W 2.69, 2 Ru 2.89
2 W 0.0000 0.0771 0.9241  3 W 2.60-2.89, 4 Ru 2.69
3 W 0.0000 0.4229 0.5759  3 W 2.60-2.89, 4 Ru 2.69
4 La 0.5000 0.2500 0.2500  2 La 2.89

Values from the calculation:
Its space group is P2/m, No. 10. Its crystal system is monoclinic.

=====

x | Computed, not measured: an optimized crystal structure of LaRuW2 at the GGA-PBE level of DFT.

Cell lengths 5.1909, 3.8466, 3.8466 Å; angles 90.00, 90.00, 90.00 degrees
With the nearest neighbours (Å) after each atom.
Fractional coordinates of all 4 atoms:
1 La 0.5000 0.5000 0.0000  4 Ru 2.72
2 W 0.0000 0.5000 0.5000  4 W 2.72
3 W 0.0000 0.0000 0.0000  4 W 2.72
4 Ru 0.5000 0.0000 0.5000  4 La 2.72

Values from the calculation:
Its space group is P4/mmm, No. 123. Its crystal system is tetragonal.

=====

y | Computed, not measured: an optimized crystal structure of LaRuW2 at the GGA-PBE level of DFT.

Cell lengths 4.9923, 4.9923, 5.8072 Å; angles 73.85, 73.85, 36.51 degrees
With the nearest neighbours (Å) after each atom.
Fractional coordinates of all 4 atoms:
1 Ru 0.2730 0.2730 0.1709  4 W 2.59-2.65
2 W 0.9974 0.9974 0.0029  2 W 2.58, 2 Ru 2.59
3 W 0.7200 0.7200 0.8365  2 W 2.58, 2 Ru 2.65
4 La 0.5096 0.5096 0.4897  3 Ru 3.07-3.30, 2 La 3.13, 7 W 3.22-3.34

Values from the calculation:
Its space group is Cm, No. 8. Its crystal system is monoclinic.

=====

Of them, y has the highest stability.